1.
# LiCoGeO4 | Alexandria | PBE with a Hubbard U | optimized geometry
data_LiCoGeO4
_cell_length_a 5.393
_cell_length_b 5.172
_cell_length_c 8.446
_cell_angle_alpha 52.43
_cell_angle_beta 90.00
_cell_angle_gamma 90.00
_space_group_name_H-M_alt 'P 1'
_space_group_IT_number 1
_space_group_name_Hall 'P 1'
loop_
_atom_site_label
_atom_site_type_symbol
_atom_site_fract_x
_atom_site_fract_y
_atom_site_fract_z
O1 O 0.843 0.151 0.966
O2 O 0.820 0.599 0.541
O3 O 0.260 0.918 0.240
O4 O 0.740 0.918 0.740
O5 O 0.643 0.288 0.268
O6 O 0.357 0.288 0.768
O7 O 0.180 0.599 0.041
O8 O 0.157 0.151 0.466
Li1 Li 0.166 0.497 0.503
Li2 Li 0.834 0.497 0.003
Co1 Co 0.831 0.998 0.499
Co2 Co 0.169 0.998 0.999
Ge1 Ge 0.679 0.243 0.754
Ge2 Ge 0.321 0.243 0.254
# E in eV/atom: -5.99
# Crystal system: monoclinic
# Energy above the lowest structure with this stoichiometry in eV/atom: 0.000
# Volume in Å³/atom: 13.337
# Total magnetic moment in μB/f.u.: 4.014


2.
# Li3Co2Ge2O8 | Alexandria | PBE with a Hubbard U | optimized geometry
data_Li3Co2Ge2O8
_cell_length_a 5.105
_cell_length_b 5.643
_cell_length_c 6.300
_cell_angle_alpha 89.57
_cell_angle_beta 90.21
_cell_angle_gamma 89.19
_space_group_name_H-M_alt 'P 1'
_space_group_IT_number 1
_space_group_name_Hall 'P 1'
loop_
_atom_site_label
_atom_site_type_symbol
_atom_site_fract_x
_atom_site_fract_y
_atom_site_fract_z
O1 O 0.109 0.324 0.268
O2 O 0.081 0.325 0.728
O3 O 0.619 0.711 0.765
O4 O 0.612 0.133 0.021
O5 O 0.657 0.130 0.476
O6 O 0.604 0.679 0.240
O7 O 0.139 0.866 0.500
O8 O 0.148 0.832 0.001
Li1 Li 0.010 0.662 0.250
Li2 Li 0.012 0.659 0.752
Li3 Li 0.497 0.333 0.248
Ge1 Ge 0.005 0.168 0.499
Ge2 Ge 0.495 0.845 0.003
Co1 Co 0.993 0.167 0.994
Co2 Co 0.513 0.832 0.502
# E in eV/atom: -5.94
# D(E_F) in states/eV/cell: 0.2
# Crystal system: triclinic
# Energy above the lowest structure with this stoichiometry in eV/atom: 0.005
# Volume in Å³/atom: 12.096
# Total magnetic moment in μB/f.u.: 7.000


3.
# Li2CoGeO4 | Alexandria | PBE with a Hubbard U | optimized geometry
data_Li2CoGeO4
_cell_length_a 5.985
_cell_length_b 5.985
_cell_length_c 5.886
_cell_angle_alpha 119.46
_cell_angle_beta 119.46
_cell_angle_gamma 92.45
_space_group_name_H-M_alt 'P 1'
_space_group_IT_number 1
_space_group_name_Hall 'P 1'
loop_
_atom_site_label
_atom_site_type_symbol
_atom_site_fract_x
_atom_site_fract_y
_atom_site_fract_z
Li1 Li 0.500 0.500 0.000
Li2 Li 0.500 0.000 0.500
Li3 Li 0.500 0.000 0.000
Li4 Li 0.000 0.000 0.500
Ge1 Ge 0.500 0.500 0.500
Ge2 Ge 0.000 0.000 0.000
Co1 Co 0.000 0.500 0.000
Co2 Co 0.000 0.500 0.500
O1 O 0.749 0.751 0.520
O2 O 0.251 0.249 0.020
O3 O 0.786 0.224 0.005
O4 O 0.276 0.714 0.495
O5 O 0.251 0.249 0.480
O6 O 0.214 0.776 0.995
O7 O 0.749 0.751 0.980
O8 O 0.724 0.286 0.505
# E in eV/atom: -5.87
# D(E_F) in states/eV/cell: 0.0
# Crystal system: orthorhombic
# Energy above the lowest structure with this stoichiometry in eV/atom: 0.076
# Volume in Å³/atom: 9.260
# Total magnetic moment in μB/f.u.: 2.985


4.
# Li2CoGe3O8 | Alexandria | PBE with a Hubbard U | optimized geometry
data_Li2CoGe3O8
_cell_length_a 8.317
_cell_length_b 8.317
_cell_length_c 8.317
_cell_angle_alpha 90.00
_cell_angle_beta 90.00
_cell_angle_gamma 90.00
_space_group_name_H-M_alt 'P 1'
_space_group_IT_number 1
_space_group_name_Hall 'P 1'
loop_
_atom_site_label
_atom_site_type_symbol
_atom_site_fract_x
_atom_site_fract_y
_atom_site_fract_z
O1 O 0.129 0.394 0.100
O2 O 0.382 0.850 0.356
O3 O 0.856 0.118 0.150
O4 O 0.613 0.887 0.113
O5 O 0.100 0.129 0.394
O6 O 0.106 0.900 0.629
O7 O 0.387 0.387 0.387
O8 O 0.644 0.882 0.650
O9 O 0.635 0.135 0.365
O10 O 0.144 0.618 0.350
O11 O 0.356 0.382 0.850
O12 O 0.365 0.635 0.135
O13 O 0.150 0.856 0.118
O14 O 0.350 0.144 0.618
O15 O 0.887 0.113 0.613
O16 O 0.865 0.865 0.865
O17 O 0.113 0.613 0.887
O18 O 0.894 0.400 0.871
O19 O 0.850 0.356 0.382
O20 O 0.371 0.606 0.600
O21 O 0.135 0.365 0.635
O22 O 0.882 0.650 0.644
O23 O 0.650 0.644 0.882
O24 O 0.600 0.371 0.606
O25 O 0.118 0.150 0.856
O26 O 0.900 0.629 0.106
O27 O 0.606 0.600 0.371
O28 O 0.394 0.100 0.129
O29 O 0.400 0.871 0.894
O30 O 0.629 0.106 0.900
O31 O 0.871 0.894 0.400
O32 O 0.618 0.350 0.144
Ge1 Ge 0.872 0.872 0.627
Ge2 Ge 0.873 0.128 0.372
Ge3 Ge 0.628 0.373 0.372
Ge4 Ge 0.128 0.127 0.628
Ge5 Ge 0.628 0.128 0.127
Ge6 Ge 0.872 0.627 0.872
Ge7 Ge 0.128 0.372 0.873
Ge8 Ge 0.627 0.872 0.872
Ge9 Ge 0.373 0.372 0.628
Ge10 Ge 0.372 0.628 0.373
Ge11 Ge 0.127 0.628 0.128
Ge12 Ge 0.372 0.873 0.128
Li1 Li 0.002 0.002 0.002
Li2 Li 0.998 0.502 0.498
Li3 Li 0.126 0.874 0.374
Li4 Li 0.502 0.498 0.998
Li5 Li 0.874 0.374 0.126
Li6 Li 0.498 0.998 0.502
Li7 Li 0.626 0.626 0.626
Li8 Li 0.374 0.126 0.874
Co1 Co 0.753 0.747 0.253
Co2 Co 0.247 0.247 0.247
Co3 Co 0.747 0.253 0.753
Co4 Co 0.253 0.753 0.747
# E in eV/atom: -6.18
# D(E_F) in states/eV/cell: 0.0
# Crystal system: cubic
# Volume in Å³/atom: 10.275
# Total magnetic moment in μB/f.u.: 3.000


5.
# Li3Co2Ge2O8 | Alexandria | PBE with a Hubbard U | optimized geometry
data_Li3Co2Ge2O8
_cell_length_a 5.115
_cell_length_b 5.470
_cell_length_c 6.567
_cell_angle_alpha 89.39
_cell_angle_beta 90.10
_cell_angle_gamma 89.68
_space_group_name_H-M_alt 'P 1'
_space_group_IT_number 1
_space_group_name_Hall 'P 1'
loop_
_atom_site_label
_atom_site_type_symbol
_atom_site_fract_x
_atom_site_fract_y
_atom_site_fract_z
Li1 Li 0.000 0.335 0.257
Li2 Li 0.000 0.833 0.507
Li3 Li 0.500 0.174 0.005
O1 O 0.070 0.639 0.770
O2 O 0.154 0.690 0.232
O3 O 0.637 0.833 0.034
O4 O 0.644 0.285 0.757
O5 O 0.103 0.165 0.984
O6 O 0.109 0.192 0.529
O7 O 0.618 0.830 0.466
O8 O 0.605 0.363 0.253
Ge1 Ge 0.509 0.675 0.252
Ge2 Ge 0.982 0.324 0.755
Co1 Co 0.997 0.831 0.992
Co2 Co 0.501 0.168 0.502
# E in eV/atom: -5.94
# Crystal system: triclinic
# Energy above the lowest structure with this stoichiometry in eV/atom: 0.000
# Volume in Å³/atom: 12.248
# Total magnetic moment in μB/f.u.: 7.000


6.
# Li2CoGeO4 | Alexandria | PBE with a Hubbard U | optimized geometry
data_Li2CoGeO4
_cell_length_a 5.103
_cell_length_b 5.522
_cell_length_c 6.445
_cell_angle_alpha 90.00
_cell_angle_beta 90.07
_cell_angle_gamma 90.00
_space_group_name_H-M_alt 'P 1'
_space_group_IT_number 1
_space_group_name_Hall 'P 1'
loop_
_atom_site_label
_atom_site_type_symbol
_atom_site_fract_x
_atom_site_fract_y
_atom_site_fract_z
Ge1 Ge 0.995 0.170 0.247
Ge2 Ge 0.495 0.830 0.747
O1 O 0.645 0.177 0.248
O2 O 0.607 0.136 0.746
O3 O 0.608 0.678 0.519
O4 O 0.607 0.678 0.975
O5 O 0.107 0.322 0.475
O6 O 0.145 0.823 0.748
O7 O 0.107 0.864 0.246
O8 O 0.108 0.322 0.019
Li1 Li 0.002 0.162 0.747
Li2 Li 0.501 0.328 0.995
Li3 Li 0.001 0.672 0.495
Li4 Li 0.502 0.838 0.247
Co1 Co 0.999 0.667 0.001
Co2 Co 0.499 0.333 0.501
# E in eV/atom: -5.94
# D(E_F) in states/eV/cell: 0.0
# Crystal system: monoclinic
# Energy above the lowest structure with this stoichiometry in eV/atom: 0.000
# Volume in Å³/atom: 11.350
# Total magnetic moment in μB/f.u.: 3.000